Entry 1:
Here is a geometry-optimized Ni3BAu structure from Alexandria. Energies are from PBEsol.

Cell lengths 3.8251, 3.8251, 3.8251 Å; angles 90.00, 90.00, 90.00 degrees
Atoms (fractional coordinates):
Ni  0.0000  0.0000  0.5000
Ni  0.0000  0.5000  0.0000
Ni  0.5000  0.0000  0.0000
B  0.0000  0.0000  0.0000
Au  0.5000  0.5000  0.5000

Output
total magnetization: 0.000 μB/atom
DFT formation energy: -0.02 eV per atom
energy relative to the lowest polymorph listed for this composition: 0.00 kcal/mol of atoms



Entry 2:
Here is a geometry-optimized Tc2NiBAu structure from Alexandria. Energies are from PBEsol.

Cell lengths 4.8145, 4.8145, 4.4958 Å; angles 90.00, 90.00, 90.00 degrees
Atoms (fractional coordinates):
Tc  0.0000  0.5000  0.0000
Tc  0.5000  0.0000  0.0000
Ni  0.0000  0.0000  0.5000
B  0.5000  0.5000  0.5000
Au  0.0000  0.0000  0.0000

Output
total magnetization: 1.070 μB/atom
DFT formation energy: 2.92 eV per atom



Entry 3:
Here is a geometry-optimized TiNi2BAu structure from Alexandria. Energies are from PBEsol.

Cell lengths 3.8873, 3.8873, 4.1758 Å; angles 90.00, 90.00, 90.00 degrees
Atoms (fractional coordinates):
Ti  0.0000  0.0000  0.0000
Ni  0.0000  0.5000  0.5000
Ni  0.5000  0.0000  0.5000
B  0.5000  0.5000  0.5000
Au  0.5000  0.5000  0.0000

Output
total magnetization: 0.155 μB/atom
DFT formation energy: 0.00 eV per atom



Entry 4:
Here is a geometry-optimized BAuO3 structure from Alexandria. Energies are from PBEsol.

Cell lengths 3.4577, 3.4577, 3.4577 Å; angles 90.00, 90.00, 90.00 degrees
Atoms (fractional coordinates):
B  0.0000  0.0000  0.0000
Au  0.5000  0.5000  0.5000
O  0.0000  0.0000  0.5000
O  0.0000  0.5000  0.0000
O  0.5000  0.0000  0.0000

Output
total magnetization: 0.398 μB/atom
VASP energy: -0.196 Ha/atom



Entry 5:
Here is a geometry-optimized Rb2BAuO structure from Alexandria. Energies are from PBEsol.

Cell lengths 5.7572, 5.7572, 3.9570 Å; angles 90.00, 90.00, 90.00 degrees
Atoms (fractional coordinates):
Rb  0.0000  0.5000  0.0000
Rb  0.5000  0.0000  0.0000
B  0.0000  0.0000  0.5000
Au  0.5000  0.5000  0.5000
O  0.5000  0.5000  0.0000

Output
total magnetization: 0.392 μB/atom
VASP energy: -0.117 Ha/atom



Entry 6:
Here is a geometry-optimized BP3Au structure from Alexandria. Energies are from PBEsol.

Cell lengths 4.0884, 4.0884, 4.0884 Å; angles 90.00, 90.00, 90.00 degrees
Atoms (fractional coordinates):
B  0.0000  0.0000  0.0000
P  0.0000  0.0000  0.5000
P  0.0000  0.5000  0.0000
P  0.5000  0.0000  0.0000
Au  0.5000  0.5000  0.5000

Output
total magnetization: 0.000 μB/atom
DFT formation energy: 0.74 eV per atom



Entry 7:
Here is a geometry-optimized BP2AuS structure from Alexandria. Energies are from PBEsol.

Cell lengths 4.0914, 4.0914, 4.1809 Å; angles 90.00, 90.00, 90.00 degrees
Atoms (fractional coordinates):
B  0.0000  0.0000  0.0000
P  0.0000  0.5000  0.0000
P  0.5000  0.0000  0.0000
Au  0.5000  0.5000  0.5000
S  0.0000  0.0000  0.5000

Output
total magnetization: 0.000 μB/atom
VASP energy: -0.169 Ha/atom



Entry 8:
Here is a geometry-optimized BPAuS2 structure from Alexandria. Energies are from PBEsol.

Cell lengths 4.1143, 4.1143, 4.1860 Å; angles 90.00, 90.00, 90.00 degrees
Atoms (fractional coordinates):
B  0.0000  0.0000  0.0000
P  0.0000  0.0000  0.5000
Au  0.5000  0.5000  0.5000
S  0.0000  0.5000  0.0000
S  0.5000  0.0000  0.0000

Output
total magnetization: 0.000 μB/atom
VASP energy: -0.158 Ha/atom



Entry 9:
Here is a geometry-optimized BPb3Au structure from Alexandria. Energies are from PBEsol.

Cell lengths 4.9238, 4.9238, 4.9238 Å; angles 90.00, 90.00, 90.00 degrees
Atoms (fractional coordinates):
B  0.0000  0.0000  0.0000
Pb  0.0000  0.0000  0.5000
Pb  0.0000  0.5000  0.0000
Pb  0.5000  0.0000  0.0000
Au  0.5000  0.5000  0.5000

Output
total magnetization: 0.000 μB/atom
DFT formation energy: 0.68 eV per atom



Entry 10:
Here is a geometry-optimized BPt3Au structure from Alexandria. Energies are from PBEsol.

Cell lengths 5.5955, 5.5955, 5.4996 Å; angles 105.05, 105.05, 60.23 degrees
Atoms (fractional coordinates):
B  0.1683  0.1683  0.0005
B  0.8317  0.8317  0.9995
Pt  0.0430  0.5472  0.2712
Pt  0.0456  0.0456  0.2694
Pt  0.4528  0.9570  0.7288
Pt  0.5472  0.0430  0.2712
Pt  0.9544  0.9544  0.7306
Pt  0.9570  0.4528  0.7288
Au  0.4557  0.4557  0.7336
Au  0.5443  0.5443  0.2664

Output
total magnetization: 0.000 μB/atom
DFT formation energy: -0.19 eV per atom



Entry 11:
Here is a geometry-optimized B2Pt2Au structure from Alexandria. Energies are from PBEsol.

Cell lengths 6.5928, 6.5928, 6.5928 Å; angles 152.05, 152.05, 39.94 degrees
Atoms (fractional coordinates):
B  0.2500  0.7500  0.5000
B  0.7500  0.2500  0.5000
Pt  0.1368  0.1368  0.0000
Pt  0.8632  0.8632  0.0000
Au  0.5000  0.5000  0.0000

Output
total magnetization: 0.000 μB/atom
DFT formation energy: -0.17 eV per atom



Entry 12:
Here is a geometry-optimized B2RuPtAu structure from Alexandria. Energies are from PBEsol.

Cell lengths 3.9514, 3.9514, 5.1878 Å; angles 90.00, 90.00, 90.00 degrees
Atoms (fractional coordinates):
B  0.0000  0.5000  0.0000
B  0.5000  0.0000  0.0000
Ru  0.0000  0.0000  0.5000
Pt  0.5000  0.5000  0.0000
Au  0.5000  0.5000  0.5000

Output
total magnetization: 0.471 μB/atom
DFT formation energy: 1.33 eV per atom